UCoSe4 | Alexandria via LeMat-Bulk | PBE-GGA | relaxed; space-group type = I4_1md (109); V = 299.56 Å³/cell; uncorrected formation energy = -516.3 meV/atom
1.0
-4.582 4.582 3.567
4.582 -4.582 3.567
4.582 4.582 -3.567
U Co Se
2 2 8
direct
0.000 0.000 0.000
0.750 0.250 0.500
0.255 0.755 0.500
0.505 0.505 0.000
0.030 0.335 0.305
0.030 0.725 0.695
0.085 0.280 0.805
0.475 0.280 0.195
0.485 0.182 0.697
0.485 0.788 0.303
0.538 0.735 0.803
0.932 0.735 0.197